# Mn2FeO6 (PBE with a Hubbard U, optimized geometry)
# total moment = 10.00 μB/f.u.
# distance to the lowest polymorph of the same formula = 0.0 kJ per mole of atoms
# density of states at the Fermi level = 3.9 states/eV/cell
# crystal system = trigonal
# E = -6.747 eV/atom
data_Mn2FeO6
_cell_length_a 5.1269
_cell_length_b 5.1269
_cell_length_c 4.4636
_cell_angle_alpha 90.00
_cell_angle_beta 90.00
_cell_angle_gamma 120.00
_symmetry_space_group_name_H-M 'P -3 1 m'
_symmetry_Int_Tables_number 162
_symmetry_space_group_name_Hall '-P 3 2'
loop_
_atom_site_label
_atom_site_type_symbol
_atom_site_fract_x
_atom_site_fract_y
_atom_site_fract_z
Mn1 Mn 0.3333 0.6667 0.0000
Fe1 Fe 0.0000 0.0000 0.0000
O1 O 0.0000 0.3398 0.7855